(1)
Crystalline Y2GaBRu at its relaxed geometry. Source: Alexandria via LeMat-Bulk, functional PBE.

Unit cell a=5.0534 b=5.0534 c=3.9637 alpha=90.00 beta=90.00 gamma=90.00
Fractional positions:
Y  0.0000  0.5000  0.0000
Y  0.5000  0.0000  0.0000
Ru  0.0000  0.0000  0.5000
B  0.0000  0.0000  0.0000
Ga  0.5000  0.5000  0.5000

Summary:
Symmetry = P4/mmm, No. 123
E_form = -0.3933 eV per atom
DOS(E_F) = 0.46 states/eV/atom

---

(2)
Crystalline Er8PPb4Se3 at its relaxed geometry. Source: Alexandria via LeMat-Bulk, functional PBE.

Unit cell a=7.9245 b=8.9652 c=7.9567 alpha=116.69 beta=119.87 gamma=90.00
Fractional positions:
Er  0.2324  0.7106  0.9800
Er  0.2324  0.7106  0.4648
Er  0.2597  0.2814  0.5195
Er  0.7476  0.7106  0.9800
Er  0.2524  0.2894  0.0200
Er  0.7403  0.7186  0.4805
Er  0.7676  0.2894  0.5352
Er  0.7676  0.2894  0.0200
P  0.0000  0.5000  0.0000
Pb  0.5000  0.0000  0.0000
Pb  0.5000  0.0000  0.5000
Pb  0.0000  0.0000  0.0000
Pb  0.0000  0.0000  0.5000
Se  0.5000  0.5000  0.0000
Se  0.5000  0.5000  0.5000
Se  0.0000  0.5000  0.5000

Summary:
Symmetry = C2/m, No. 12
E_form (uncorrected) = -1.05 eV/atom
DOS(E_F) = 0.56 states/eV/atom

---

(3)
Crystalline AcSm2ErTl2 at its relaxed geometry. Source: Alexandria via LeMat-Bulk, functional PBE.

Unit cell a=4.8871 b=8.5281 c=9.5042 alpha=90.00 beta=90.00 gamma=90.00
Last column: magnetic moment on the atom in μB.
Fractional positions:
Ac  0.0000  0.9835  0.4165  0.13
Ac  0.0000  0.4835  0.5835  0.13
Sm  0.5000  0.0328  0.0786  0.32
Sm  0.0000  0.3675  0.1754  0.19
Sm  0.5000  0.5328  0.9214  0.32
Sm  0.0000  0.8675  0.8246  0.19
Er  0.5000  0.1488  0.6908  0.27
Er  0.5000  0.6488  0.3092  0.27
Tl  0.0000  0.2389  0.8739  -0.01
Tl  0.5000  0.2740  0.3746  -0.01
Tl  0.0000  0.7389  0.1261  -0.01
Tl  0.5000  0.7740  0.6254  -0.01

Summary:
Symmetry = Pmc2_1, No. 26
E_form = -0.2447 eV per atom
DOS(E_F) = 0.84 states/eV/atom

---

(4)
Crystalline Ba2LiAu2 at its relaxed geometry. Source: Alexandria via LeMat-Bulk, functional PBE.

Unit cell a=9.2466 b=9.2466 c=4.0320 alpha=90.00 beta=90.00 gamma=90.00
Fractional positions:
Au  0.1346  0.6346  0.5000
Au  0.6346  0.8654  0.5000
Au  0.8654  0.3654  0.5000
Au  0.3654  0.1346  0.5000
Ba  0.3423  0.8423  0.0000
Ba  0.8423  0.6577  0.0000
Ba  0.6577  0.1577  0.0000
Ba  0.1577  0.3423  0.0000
Li  0.0000  0.0000  0.0000
Li  0.5000  0.5000  0.0000

Summary:
Symmetry = P4/mbm, No. 127
E_form = -0.3899 eV per atom
DOS(E_F) = 0.92 states/eV/atom

---

(5)
Crystalline VTe2WN at its relaxed geometry. Source: Alexandria via LeMat-Bulk, functional PBE.

Unit cell a=5.3154 b=5.3154 c=3.5813 alpha=90.00 beta=90.00 gamma=90.00
Last column: magnetic moment on the atom in μB.
Fractional positions:
N  0.0000  0.0000  0.5000  -0.08
Te  0.0000  0.5000  0.0000  -0.11
Te  0.5000  0.0000  0.0000  -0.11
W  0.5000  0.5000  0.5000  2.18
V  0.0000  0.0000  0.0000  0.68

Summary:
Symmetry = P4/mmm, No. 123
E_form (uncorrected) = 0.77 eV/atom
DOS(E_F) = 0.59 states/eV/atom

---

Number 1: mass density 5.9 g/cm³, E_tot -6.7750 eV/atom. Number 2: mass density 9.6 g/cm³, E_tot -5.2494 eV/atom. Number 3: mass density 9.3 g/cm³, E_tot -4.0517 eV/atom. Number 4: mass density 6.5 g/cm³, E_tot -2.8528 eV/atom. Number 5: mass density 8.3 g/cm³, E_tot -6.5682 eV/atom.